Entry 1:
Entry from Alexandria via LeMat-Bulk: a relaxed LiCu2Pb2 crystal (PBE).

The relative energy among the computed polymorphs is 0.46 eV/f.u. For the total moment, the calculation gives 0.00 Bohr magnetons per cell. Its crystal system is tetragonal.

Geometry as POSCAR:
```
LiCu2Pb2
1.0
7.8399 0.0000 0.0000
0.0000 7.8399 0.0000
0.0000 0.0000 3.4318
Li Cu Pb
2 4 4
Direct
0.5000 0.5000 0.0000 Li
0.0000 0.0000 0.0000 Li
0.6233 0.8767 0.5000 Cu
0.3767 0.1233 0.5000 Cu
0.8767 0.3767 0.5000 Cu
0.1233 0.6233 0.5000 Cu
0.1685 0.3315 0.0000 Pb
0.6685 0.1685 0.0000 Pb
0.8315 0.6685 0.0000 Pb
0.3315 0.8315 0.0000 Pb
```

---

Entry 2:
Entry from Alexandria via LeMat-Bulk: a relaxed LiCuPb2 crystal (PBE).

The relative energy among the computed polymorphs is 0.02 eV/f.u. For the total moment, the calculation gives 0.00 Bohr magnetons per cell. Its crystal system is cubic.

Geometry as POSCAR:
```
LiCuPb2
1.0
-1.9795 -3.6756 -2.6995
-2.2395 -3.8182 2.2631
-4.9386 -0.5019 -0.2732
Pb Cu Li
2 1 1
Direct
0.7500 0.7500 0.7500 Pb
0.2500 0.2500 0.2500 Pb
0.5000 0.5000 0.5000 Cu
0.0000 0.0000 0.0000 Li
```

---

Entry 3:
Entry from Alexandria via LeMat-Bulk: a relaxed LiCuPb2 crystal (PBE).

The relative energy among the computed polymorphs is 0.21 eV/f.u. For the total moment, the calculation gives 0.00 Bohr magnetons per cell. Its crystal system is trigonal.

Geometry as POSCAR:
```
LiCuPb2
1.0
9.3801 0.1177 0.0697
8.7339 3.4232 0.0697
8.7339 1.7073 2.9679
Pb Li Cu
2 1 1
Direct
0.9951 0.9951 0.9951 Pb
0.5049 0.5049 0.5049 Pb
0.7500 0.7500 0.7500 Li
0.2500 0.2500 0.2500 Cu
```

---

Entry 4:
Entry from Alexandria via LeMat-Bulk: a relaxed Li2CuPb2 crystal (PBE).

The relative energy among the computed polymorphs is 0.00 eV/f.u. For the total moment, the calculation gives 0.00 Bohr magnetons per cell. Its crystal system is tetragonal.

Geometry as POSCAR:
```
Li2CuPb2
1.0
7.1122 0.0000 0.0000
0.0000 7.1122 0.0000
0.0000 0.0000 4.4403
Cu Li Pb
2 4 4
Direct
0.5000 0.5000 0.0000 Cu
0.0000 0.0000 0.0000 Cu
0.3481 0.1519 0.5000 Li
0.8481 0.3481 0.5000 Li
0.6519 0.8481 0.5000 Li
0.1519 0.6519 0.5000 Li
0.3452 0.8452 0.0000 Pb
0.8452 0.6548 0.0000 Pb
0.1548 0.3452 0.0000 Pb
0.6548 0.1548 0.0000 Pb
```

---

Entry 5:
Entry from Alexandria via LeMat-Bulk: a relaxed Li3CuPb crystal (PBE).

The relative energy among the computed polymorphs is 0.00 eV/f.u. For the total moment, the calculation gives 0.00 Bohr magnetons per cell. Its crystal system is cubic.

Geometry as POSCAR:
```
Li3CuPb
1.0
-3.9024 2.4091 -0.6817
-2.4108 -3.9564 -0.1803
-0.6754 0.2027 4.5826
Li Pb Cu
3 1 1
Direct
0.0000 0.5000 0.0000 Li
0.0000 0.0000 0.5000 Li
0.5000 0.0000 0.0000 Li
0.5000 0.5000 0.5000 Pb
0.0000 0.0000 0.0000 Cu
```

---

Entry 6:
Entry from Alexandria via LeMat-Bulk: a relaxed LiCu2Pb2 crystal (PBE).

The relative energy among the computed polymorphs is 0.47 eV/f.u. For the total moment, the calculation gives 0.00 Bohr magnetons per cell. Its crystal system is tetragonal.

Geometry as POSCAR:
```
LiCu2Pb2
1.0
5.3642 0.0000 0.0000
0.0000 5.3642 0.0000
2.6821 2.6821 3.8162
Pb Li Cu
2 1 2
Direct
0.2500 0.7500 0.5000 Pb
0.7500 0.2500 0.5000 Pb
0.0000 0.0000 0.0000 Li
0.3442 0.3442 0.3116 Cu
0.6558 0.6558 0.6884 Cu
```

---

Entry 7:
Entry from Alexandria via LeMat-Bulk: a relaxed LiCuPb4 crystal (PBE).

For the total moment, the calculation gives 0.00 Bohr magnetons per cell. The total energy comes out at -3.11 eV per atom. Its crystal system is cubic.

Geometry as POSCAR:
```
LiCuPb4
1.0
-0.9190 3.5609 5.2461
-3.2055 5.5324 -0.4047
-5.8580 0.5017 2.5453
Pb Cu Li
4 1 1
Direct
0.8745 0.3752 0.3752 Pb
0.3752 0.3752 0.8745 Pb
0.3752 0.3752 0.3752 Pb
0.3752 0.8745 0.3752 Pb
0.7500 0.7500 0.7500 Cu
0.0000 0.0000 0.0000 Li
```

---

Entry 8:
Entry from Alexandria via LeMat-Bulk: a relaxed Li2Cu2Pb crystal (PBE).

The relative energy among the computed polymorphs is 0.46 eV/f.u. For the total moment, the calculation gives 0.00 Bohr magnetons per cell. Its crystal system is tetragonal.

Geometry as POSCAR:
```
Li2Cu2Pb
1.0
7.2484 0.0000 0.0000
0.0000 7.2484 0.0000
0.0000 0.0000 3.0942
Li Pb Cu
4 2 4
Direct
0.1451 0.3549 0.0000 Li
0.6451 0.1451 0.0000 Li
0.8549 0.6451 0.0000 Li
0.3549 0.8549 0.0000 Li
0.0000 0.0000 0.0000 Pb
0.5000 0.5000 0.0000 Pb
0.1342 0.6342 0.5000 Cu
0.6342 0.8658 0.5000 Cu
0.8658 0.3658 0.5000 Cu
0.3658 0.1342 0.5000 Cu
```